1.
## RbNaH3Au (PBE)

Data for crystalline RbNaH3Au at its relaxed geometry.

Properties
SG: No. 194
raw total energy: -0.1024 Ha/atom
Fermi-level density of states: 0.000 states/eV/f.u.

Lattice parameters (Å, degrees): 6.1582 6.1582 6.6741 90.00 90.00 120.00
Closest atoms and distances in Å follow each position.
Element x y z (fractional)
Rb (0.6667, 0.3333, 0.2500)  6 H 3.08, 2 Au 3.34
Rb (0.3333, 0.6667, 0.7500)  6 H 3.08, 2 Au 3.34
Na (0.0000, 0.0000, 0.5000)  6 H 2.46
Na (0.0000, 0.0000, 0.0000)  6 H 2.46
H (0.8311, 0.1689, 0.7500)  1 Au 1.75
H (0.1689, 0.3377, 0.2500)  1 Au 1.75
H (0.3377, 0.1689, 0.7500)  1 Au 1.75
H (0.6623, 0.8311, 0.2500)  1 Au 1.75
H (0.8311, 0.6623, 0.7500)  1 Au 1.75
H (0.1689, 0.8311, 0.2500)  1 Au 1.75
Au (0.3333, 0.6667, 0.2500)  3 H 1.75
Au (0.6667, 0.3333, 0.7500)  3 H 1.75

=====

2.
## RbNa2HAu (PBE)

Data for crystalline RbNa2HAu at its relaxed geometry.

Properties
ΔE to the lowest computed polymorph: 0 meV per atom
SG: No. 123
Fermi-level density of states: 1.629 states/eV/f.u.

Lattice parameters (Å, degrees): 4.7929 4.7929 5.5999 90.00 90.00 90.00
Closest atoms and distances in Å follow each position.
Element x y z (fractional)
Na (0.0000, 0.5000, 0.0000)  2 H 2.40
Na (0.5000, 0.0000, 0.0000)  2 H 2.40
Au (0.5000, 0.5000, 0.5000)  4 Rb 3.39, 8 Na 3.69
Rb (0.0000, 0.0000, 0.5000)  2 H 2.80
H (0.0000, 0.0000, 0.0000)  4 Na 2.40

=====

3.
## NaHRh2Au (PBE)

Data for crystalline NaHRh2Au at its relaxed geometry.

Properties
SG: No. 123
raw total energy: -0.1632 Ha/atom
Fermi-level density of states: 4.565 states/eV/f.u.

Lattice parameters (Å, degrees): 3.9234 3.9234 4.3249 90.00 90.00 90.00
Closest atoms and distances in Å follow each position.
Element x y z (fractional)
Rh (0.0000, 0.5000, 0.0000)  2 H 1.96
Rh (0.5000, 0.0000, 0.0000)  2 H 1.96
Au (0.5000, 0.5000, 0.5000)  4 Na 2.77, 8 Rh 2.92
H (0.0000, 0.0000, 0.0000)  4 Rh 1.96, 2 Na 2.16
Na (0.0000, 0.0000, 0.5000)  2 H 2.16

=====

4.
## Na2HRhAu (PBE)

Data for crystalline Na2HRhAu at its relaxed geometry.

Properties
SG: No. 123
raw total energy: -0.1237 Ha/atom
Fermi-level density of states: 1.728 states/eV/f.u.

Lattice parameters (Å, degrees): 4.5760 3.6653 4.5760 90.00 90.00 90.00
Closest atoms and distances in Å follow each position.
Element x y z (fractional)
Rh (0.0000, 0.5000, 0.0000)  2 H 1.83
Au (0.5000, 0.5000, 0.5000)  8 Na 2.93, 4 Rh 3.24
H (0.0000, 0.0000, 0.0000)  2 Rh 1.83
Na (0.0000, 0.0000, 0.5000)  2 H 2.29
Na (0.5000, 0.0000, 0.0000)  2 H 2.29

=====

5.
## NaHRhAu2 (PBE)

Data for crystalline NaHRhAu2 at its relaxed geometry.

Properties
SG: No. 123
raw total energy: -0.1373 Ha/atom
Fermi-level density of states: 1.536 states/eV/f.u.

Lattice parameters (Å, degrees): 4.6326 4.6326 3.4420 90.00 90.00 90.00
Closest atoms and distances in Å follow each position.
Element x y z (fractional)
Rh (0.0000, 0.0000, 0.5000)  2 H 1.72
Au (0.0000, 0.5000, 0.0000)  2 H 2.32
Au (0.5000, 0.0000, 0.0000)  2 H 2.32
H (0.0000, 0.0000, 0.0000)  2 Rh 1.72
Na (0.5000, 0.5000, 0.5000)  8 Au 2.89

=====

6.
## Na2SbHAu (PBE)

Data for crystalline Na2SbHAu at its relaxed geometry.

Properties
ΔE to the lowest computed polymorph: 0 meV per atom
SG: No. 123
Fermi-level density of states: 2.214 states/eV/f.u.

Lattice parameters (Å, degrees): 5.2711 5.2711 3.6008 90.00 90.00 90.00
Closest atoms and distances in Å follow each position.
Element x y z (fractional)
Sb (0.5000, 0.5000, 0.5000)  8 Na 3.19
Au (0.0000, 0.0000, 0.5000)  2 H 1.80
H (0.0000, 0.0000, 0.0000)  2 Au 1.80
Na (0.0000, 0.5000, 0.0000)  2 H 2.64
Na (0.5000, 0.0000, 0.0000)  2 H 2.64

=====

7.
## Na2SbHAu (PBE)

Data for crystalline Na2SbHAu at its relaxed geometry.

Properties
ΔE to the lowest computed polymorph: 124 meV per atom
SG: No. 123
Fermi-level density of states: 1.436 states/eV/f.u.

Lattice parameters (Å, degrees): 4.6471 4.6471 4.4115 90.00 90.00 90.00
Closest atoms and distances in Å follow each position.
Element x y z (fractional)
Sb (0.0000, 0.0000, 0.5000)  2 H 2.21
Au (0.5000, 0.5000, 0.5000)  8 Na 3.20, 4 Sb 3.29
H (0.0000, 0.0000, 0.0000)  2 Sb 2.21, 4 Na 2.32
Na (0.0000, 0.5000, 0.0000)  2 H 2.32
Na (0.5000, 0.0000, 0.0000)  2 H 2.32

=====

8.
## NaSiH6Au (PBE)

Data for crystalline NaSiH6Au at its relaxed geometry.

Properties
SG: No. 1
raw total energy: -0.1246 Ha/atom
Fermi-level density of states: 0.000 states/eV/f.u.

Lattice parameters (Å, degrees): 6.5925 6.6874 4.1348 77.08 88.26 46.44
Closest atoms and distances in Å follow each position.
Element x y z (fractional)
Na (0.4958, 0.6200, 0.2751)  3 H 2.23-2.29
Si (0.3649, 0.1924, 0.5937)  4 H 1.49-1.50
H (0.2040, 0.1657, 0.3892)  1 Si 1.50
H (0.5381, 0.9447, 0.9035)  1 Si 1.49
H (0.6913, 0.4957, 0.8041)  1 Au 1.67
H (0.1664, 0.4691, 0.6836)  1 Si 1.49
H (0.0841, 0.7948, 0.0406)  1 Au 1.65
H (0.5652, 0.1746, 0.3852)  1 Si 1.50
Au (0.8899, 0.1430, 0.9250)  2 H 1.65-1.67

=====

9.
## Na2SiH6Au (PBE)

Data for crystalline Na2SiH6Au at its relaxed geometry.

Properties
SG: No. 1
raw total energy: -0.1162 Ha/atom
Fermi-level density of states: 1.022 states/eV/f.u.

Lattice parameters (Å, degrees): 5.4624 5.1802 5.4622 61.76 56.62 61.78
Closest atoms and distances in Å follow each position.
Element x y z (fractional)
Na (0.5889, 0.5429, 0.3256)  8 H 2.52-2.68
Na (0.0886, 0.0430, 0.8262)  8 H 2.52-2.68
Si (0.3118, 0.3208, 0.0470)  5 H 1.59-1.69
H (0.5077, 0.1264, 0.2424)  1 Si 1.59
H (0.0752, 0.0981, 0.2686)  1 Si 1.68
H (0.0742, 0.5581, 0.2675)  1 Si 1.68
H (0.5330, 0.5585, 0.8086)  1 Si 1.68
H (0.5343, 0.0982, 0.8095)  1 Si 1.69
H (0.0876, 0.5433, 0.8215)  1 Si 1.82, 1 Au 1.83
Au (0.8605, 0.7721, 0.5984)  4 H 1.83-2.04

=====

10.
## NaSiHAu (PBE)

Data for crystalline NaSiHAu at its relaxed geometry.

Properties
SG: No. 156
raw total energy: -0.1290 Ha/atom
Fermi-level density of states: 0.850 states/eV/f.u.

Lattice parameters (Å, degrees): 4.2791 4.2799 4.3857 90.01 90.00 119.99
Closest atoms and distances in Å follow each position.
Element x y z (fractional)
Na (0.5718, 0.1437, 0.3485)  3 H 2.54
Si (0.2386, 0.4771, 0.8597)  1 H 1.56
H (0.2386, 0.4773, 0.2161)  1 Si 1.56
Au (0.9053, 0.8105, 0.8148)  3 Si 2.48

=====

11.
## Na2SnHAu (PBE)

Data for crystalline Na2SnHAu at its relaxed geometry.

Properties
ΔE to the lowest computed polymorph: 19 meV per atom
SG: No. 123
Fermi-level density of states: 1.847 states/eV/f.u.

Lattice parameters (Å, degrees): 4.4645 4.4645 4.7176 90.00 90.00 90.00
Closest atoms and distances in Å follow each position.
Element x y z (fractional)
Na (0.0000, 0.5000, 0.0000)  2 H 2.23
Na (0.5000, 0.0000, 0.0000)  2 H 2.23
Au (0.5000, 0.5000, 0.5000)  4 Sn 3.16, 8 Na 3.25
Sn (0.0000, 0.0000, 0.5000)  2 H 2.36
H (0.0000, 0.0000, 0.0000)  4 Na 2.23, 2 Sn 2.36

=====

12.
## Na2SnHAu (PBE)

Data for crystalline Na2SnHAu at its relaxed geometry.

Properties
ΔE to the lowest computed polymorph: 0 meV per atom
SG: No. 123
Fermi-level density of states: 2.977 states/eV/f.u.

Lattice parameters (Å, degrees): 5.1177 5.1177 3.7086 90.00 90.00 90.00
Closest atoms and distances in Å follow each position.
Element x y z (fractional)
Na (0.0000, 0.5000, 0.0000)  2 H 2.56
Na (0.5000, 0.0000, 0.0000)  2 H 2.56
Au (0.0000, 0.0000, 0.5000)  2 H 1.85
Sn (0.5000, 0.5000, 0.5000)  8 Na 3.16
H (0.0000, 0.0000, 0.0000)  2 Au 1.85

=====

13.
## NaSrHAu (PBE)

Data for crystalline NaSrHAu at its relaxed geometry.

Properties
SG: No. 216
raw total energy: -0.0972 Ha/atom
Fermi-level density of states: 1.236 states/eV/f.u.

Lattice parameters (Å, degrees): 5.0852 5.0852 5.0852 60.00 60.00 60.00
Closest atoms and distances in Å follow each position.
Element x y z (fractional)
Sr (0.5000, 0.5000, 0.5000)  4 H 3.11, 4 Au 3.11
Au (0.7500, 0.7500, 0.7500)  4 Na 3.11, 4 Sr 3.11
H (0.2500, 0.2500, 0.2500)  4 Na 3.11, 4 Sr 3.11
Na (0.0000, 0.0000, 0.0000)  4 H 3.11, 4 Au 3.11